Entry 1:
VASP calculation (PBE) on TbGdI after structural relaxation.

Computed properties:
Its uncorrected energy is -7.29 eV per atom. For the formation energy without anion corrections, the calculation gives -0.535 eV/atom.

abc: 3.856 3.856 7.586
angles: 90.00 90.00 120.00
Site moments in Bohr magnetons follow the coordinates.
Fractional positions:
I  0.667  0.333  0.331  -0.01
Gd  0.333  0.667  0.660  7.16
Tb  0.000  0.000  0.009  0.09



Entry 2:
VASP calculation (PBE) on Sr2SbMo after structural relaxation.

Computed properties:
Its uncorrected energy is -4.18 eV per atom. For the formation energy without anion corrections, the calculation gives 0.394 eV/atom.

abc: 6.285 6.285 6.285
angles: 134.99 134.99 65.55
Site moments in Bohr magnetons follow the coordinates.
Fractional positions:
Mo  0.500  0.500  0.000  3.04
Sb  0.750  0.250  0.500  -0.01
Sr  0.000  0.000  0.000  0.03
Sr  0.250  0.750  0.500  0.03



Entry 3:
VASP calculation (PBE) on YErTm after structural relaxation.

Computed properties:
For the formation energy, the calculation gives 0.156 eV per atom. Its uncorrected energy is -5.01 eV per atom.

abc: 3.467 3.444 15.973
angles: 90.00 90.00 90.00
Fractional positions:
Y  0.250  0.250  0.079
Y  0.750  0.750  0.921
Er  0.250  0.750  0.732
Er  0.750  0.250  0.268
Tm  0.250  0.750  0.421
Tm  0.750  0.250  0.579